Material: Lu2ZrSb
Method: DFT, PBE-GGA
State: optimized geometry

Results
As for the crystal system: tetragonal. The value obtained for the formation energy from raw total energies is -369 meV/atom.

Cell and atoms, written as CIF:
```
data_Lu2ZrSb
_cell_length_a 4.472
_cell_length_b 4.681
_cell_length_c 4.681
_cell_angle_alpha 90.00
_cell_angle_beta 90.00
_cell_angle_gamma 90.00
_symmetry_space_group_name_H-M 'P 1'
_symmetry_Int_Tables_number 1
_symmetry_space_group_name_Hall 'P 1'
loop_
_atom_site_label
_atom_site_type_symbol
_atom_site_fract_x
_atom_site_fract_y
_atom_site_fract_z
Zr1 Zr 0.500 0.500 0.500
Lu1 Lu 0.000 0.000 0.500
Lu2 Lu 0.000 0.500 0.000
Sb1 Sb 0.500 0.000 0.000
```


Material: Ac2PrOsN4
Method: DFT, PBE-GGA
State: optimized geometry

Results
As for the crystal system: orthorhombic. The value obtained for the formation energy from raw total energies is -603 meV/atom.

Cell and atoms, written as CIF:
```
data_Ac2PrOsN4
_cell_length_a 3.601
_cell_length_b 6.571
_cell_length_c 12.891
_cell_angle_alpha 90.00
_cell_angle_beta 90.00
_cell_angle_gamma 105.90
_symmetry_space_group_name_H-M 'P 1'
_symmetry_Int_Tables_number 1
_symmetry_space_group_name_Hall 'P 1'
loop_
_atom_site_label
_atom_site_type_symbol
_atom_site_fract_x
_atom_site_fract_y
_atom_site_fract_z
N1 N 0.408 0.816 0.750
N2 N 0.721 0.441 0.644
N3 N 0.279 0.559 0.356
N4 N 0.000 0.000 0.500
N5 N 0.000 0.000 0.000
N6 N 0.592 0.184 0.250
N7 N 0.721 0.441 0.856
N8 N 0.279 0.559 0.144
Ac1 Ac 0.367 0.735 0.958
Ac2 Ac 0.367 0.735 0.542
Ac3 Ac 0.633 0.265 0.458
Ac4 Ac 0.633 0.265 0.042
Os1 Os 0.843 0.686 0.750
Os2 Os 0.157 0.314 0.250
Pr1 Pr 0.125 0.250 0.750
Pr2 Pr 0.875 0.750 0.250
```


Material: Pr2Cd12Ag5
Method: DFT, PBE-GGA
State: optimized geometry

Results
As for the crystal system: trigonal. The calculated formation energy is -163 meV/atom.

Cell and atoms, written as CIF:
```
data_Pr2Cd12Ag5
_cell_length_a 7.564
_cell_length_b 7.564
_cell_length_c 7.564
_cell_angle_alpha 82.44
_cell_angle_beta 82.44
_cell_angle_gamma 82.44
_symmetry_space_group_name_H-M 'P 1'
_symmetry_Int_Tables_number 1
_symmetry_space_group_name_Hall 'P 1'
loop_
_atom_site_label
_atom_site_type_symbol
_atom_site_fract_x
_atom_site_fract_y
_atom_site_fract_z
Ag1 Ag 0.000 0.000 0.500
Ag2 Ag 0.104 0.104 0.104
Ag3 Ag 0.500 0.000 0.000
Ag4 Ag 0.000 0.500 0.000
Ag5 Ag 0.896 0.896 0.896
Cd1 Cd 0.296 0.000 0.704
Cd2 Cd 0.849 0.351 0.351
Cd3 Cd 0.704 0.000 0.296
Cd4 Cd 0.351 0.849 0.351
Cd5 Cd 0.000 0.704 0.296
Cd6 Cd 0.704 0.296 0.000
Cd7 Cd 0.649 0.151 0.649
Cd8 Cd 0.296 0.704 0.000
Cd9 Cd 0.351 0.351 0.849
Cd10 Cd 0.151 0.649 0.649
Cd11 Cd 0.649 0.649 0.151
Cd12 Cd 0.000 0.296 0.704
Pr1 Pr 0.335 0.335 0.335
Pr2 Pr 0.665 0.665 0.665
```


Material: La3ZnRu
Method: DFT, PBE-GGA
State: optimized geometry

Results
As for the crystal system: cubic. The calculated formation energy is -119 meV/atom.

Cell and atoms, written as CIF:
```
data_La3ZnRu
_cell_length_a 5.484
_cell_length_b 5.484
_cell_length_c 5.484
_cell_angle_alpha 90.00
_cell_angle_beta 90.00
_cell_angle_gamma 90.00
_symmetry_space_group_name_H-M 'P 1'
_symmetry_Int_Tables_number 1
_symmetry_space_group_name_Hall 'P 1'
loop_
_atom_site_label
_atom_site_type_symbol
_atom_site_fract_x
_atom_site_fract_y
_atom_site_fract_z
Zn1 Zn 0.500 0.500 0.500
La1 La 0.000 0.000 0.500
La2 La 0.000 0.500 0.000
La3 La 0.500 0.000 0.000
Ru1 Ru 0.000 0.000 0.000
```


| no. | VASP energy (eV per atom) |
| --- | --- |
| 1 | -5.80 |
| 2 | -7.79 |
| 3 | -1.99 |
| 4 | -5.19 |